i | RbCoP3 after structural relaxation, computed with GGA-PBE.

abc: 5.277 5.277 5.277
angles: 90.00 90.00 90.00
Space group Pm-3m (No. 221)
Inequivalent atoms, fractional coordinates:
Rb (0.000, 0.000, 0.000)
Co (0.500, 0.500, 0.500)
P (0.000, 0.000, 0.500)

Density: 2.7 g/cm³
Size of the total moment: 0.5987 μB/atom

ii | RbCoP3 after structural relaxation, computed with GGA-PBE.

abc: 4.618 4.618 4.618
angles: 90.00 90.00 90.00
Space group Pm-3m (No. 221)
Inequivalent atoms, fractional coordinates:
Rb (0.000, 0.000, 0.000)
Co (0.500, 0.500, 0.500)
P (0.000, 0.500, 0.500)

Density: 4.0 g/cm³
Size of the total moment: 0.0008 μB/atom

Which of them is least stable? Easy: i.

i | RbCoPS2 after structural relaxation, computed with GGA-PBE.

abc: 4.942 4.942 4.224
angles: 90.00 90.00 90.00
Space group P4/mmm (No. 123)
Inequivalent atoms, fractional coordinates:
Rb (0.000, 0.000, 0.000)
Co (0.500, 0.500, 0.500)
P (0.500, 0.500, 0.000)
S (0.000, 0.500, 0.500)

Density: 3.9 g/cm³
Size of the total moment: 0.2214 μB/atom

ii | RbCoPS2 after structural relaxation, computed with GGA-PBE.

abc: 5.395 5.395 5.709
angles: 90.00 90.00 90.00
Space group P4/mmm (No. 123)
Inequivalent atoms, fractional coordinates:
Rb (0.000, 0.000, 0.000)
Co (0.500, 0.500, 0.500)
P (0.000, 0.000, 0.500)
S (0.000, 0.500, 0.000)

Density: 2.4 g/cm³
Size of the total moment: 0.1524 μB/atom

Which of them is least stable? Easy: ii.